1.
A geometry-optimized Sm2ScTaO7 structure. Source: Alexandria via LeMat-Bulk, functional GGA-PBEsol.

Output
**Uncorrected formation energy**: -3.39 eV/atom

Geometry as CIF:
```
data_Sm2ScTaO7
_chemical_formula_sum 'Sm4 Sc2 Ta2 O14'
_cell_length_a 7.307
_cell_length_b 7.375
_cell_length_c 7.375
_cell_angle_alpha 60.69
_cell_angle_beta 60.30
_cell_angle_gamma 60.30
_space_group_name_H-M_alt 'P 1'
_space_group_IT_number 1
loop_
_space_group_symop_operation_xyz
'x,y,z'
loop_
_atom_site_label
_atom_site_type_symbol
_atom_site_fract_x
_atom_site_fract_y
_atom_site_fract_z
Sm1 Sm 0.000 0.500 0.000
O1 O 0.075 0.657 0.593
O2 O 0.075 0.093 0.157
O3 O 0.628 0.622 0.122
Sc1 Sc 0.500 0.000 0.500
O4 O 0.347 0.903 0.403
O5 O 0.326 0.907 0.843
Sc2 Sc 0.000 0.000 0.500
Ta1 Ta 0.000 0.000 0.000
Ta2 Ta 0.000 0.500 0.500
O6 O 0.932 0.318 0.818
O7 O 0.925 0.907 0.843
O8 O 0.653 0.097 0.597
Sm2 Sm 0.500 0.000 0.000
O9 O 0.674 0.657 0.593
O10 O 0.925 0.343 0.407
O11 O 0.674 0.093 0.157
O12 O 0.068 0.682 0.182
Sm3 Sm 0.500 0.500 0.500
O13 O 0.372 0.378 0.878
Sm4 Sm 0.500 0.500 0.000
O14 O 0.326 0.343 0.407
```


2.
A geometry-optimized PrAl2Ni3 structure. Source: Alexandria via LeMat-Bulk, functional GGA-PBEsol.

Output
**Energy relative to the elements**: -0.53 eV per atom

Geometry as CIF:
```
data_PrAl2Ni3
_chemical_formula_sum 'Pr1 Al2 Ni3'
_cell_length_a 3.770
_cell_length_b 5.272
_cell_length_c 5.272
_cell_angle_alpha 120.00
_cell_angle_beta 90.00
_cell_angle_gamma 90.00
_space_group_name_H-M_alt 'P 1'
_space_group_IT_number 1
loop_
_space_group_symop_operation_xyz
'x,y,z'
loop_
_atom_site_label
_atom_site_type_symbol
_atom_site_fract_x
_atom_site_fract_y
_atom_site_fract_z
Ni1 Ni 0.500 0.500 0.500
Al1 Al 0.000 0.333 0.667
Al2 Al 0.000 0.667 0.333
Ni2 Ni 0.500 0.000 0.500
Ni3 Ni 0.500 0.500 0.000
Pr1 Pr 0.000 0.000 0.000
```


3.
A geometry-optimized ZrAsIr4 structure. Source: Alexandria via LeMat-Bulk, functional GGA-PBEsol.

Output
**Energy relative to the elements**: -0.08 eV per atom

Geometry as CIF:
```
data_ZrAsIr4
_chemical_formula_sum 'Zr1 As1 Ir4'
_cell_length_a 5.179
_cell_length_b 5.179
_cell_length_c 5.179
_cell_angle_alpha 60.00
_cell_angle_beta 60.00
_cell_angle_gamma 60.00
_space_group_name_H-M_alt 'P 1'
_space_group_IT_number 1
loop_
_space_group_symop_operation_xyz
'x,y,z'
loop_
_atom_site_label
_atom_site_type_symbol
_atom_site_fract_x
_atom_site_fract_y
_atom_site_fract_z
Zr1 Zr 0.750 0.750 0.750
Ir1 Ir 0.375 0.375 0.375
Ir2 Ir 0.875 0.375 0.375
Ir3 Ir 0.375 0.375 0.875
Ir4 Ir 0.375 0.875 0.375
As1 As 0.000 0.000 0.000
```


4.
A geometry-optimized Cs2RbInI6 structure. Source: Alexandria via LeMat-Bulk, functional GGA-PBEsol.

Output
**Uncorrected formation energy**: -1.06 eV/atom

Geometry as CIF:
```
data_Cs2RbInI6
_chemical_formula_sum 'Cs2 Rb1 In1 I6'
_cell_length_a 8.849
_cell_length_b 8.849
_cell_length_c 8.849
_cell_angle_alpha 60.00
_cell_angle_beta 60.00
_cell_angle_gamma 60.00
_space_group_name_H-M_alt 'P 1'
_space_group_IT_number 1
loop_
_space_group_symop_operation_xyz
'x,y,z'
loop_
_atom_site_label
_atom_site_type_symbol
_atom_site_fract_x
_atom_site_fract_y
_atom_site_fract_z
I1 I 0.769 0.231 0.769
I2 I 0.231 0.231 0.769
Cs1 Cs 0.750 0.750 0.750
Rb1 Rb 0.500 0.500 0.500
I3 I 0.769 0.769 0.231
I4 I 0.769 0.231 0.231
In1 In 0.000 0.000 0.000
I5 I 0.231 0.769 0.769
I6 I 0.231 0.769 0.231
Cs2 Cs 0.250 0.250 0.250
```


5.
A geometry-optimized CoTeAu2 structure. Source: Alexandria via LeMat-Bulk, functional GGA-PBEsol.

Output
**Uncorrected formation energy**: 0.37 eV/atom

Geometry as CIF:
```
data_CoTeAu2
_chemical_formula_sum 'Co1 Te1 Au2'
_cell_length_a 2.941
_cell_length_b 2.941
_cell_length_c 8.448
_cell_angle_alpha 90.00
_cell_angle_beta 90.00
_cell_angle_gamma 90.01
_space_group_name_H-M_alt 'P 1'
_space_group_IT_number 1
loop_
_space_group_symop_operation_xyz
'x,y,z'
loop_
_atom_site_label
_atom_site_type_symbol
_atom_site_fract_x
_atom_site_fract_y
_atom_site_fract_z
Au1 Au 0.000 0.000 0.693
Te1 Te 0.500 0.500 0.000
Co1 Co 0.500 0.500 0.500
Au2 Au 0.000 0.000 0.307
```


6.
A geometry-optimized LiAl4Se structure. Source: Alexandria via LeMat-Bulk, functional GGA-PBEsol.

Output
**Uncorrected formation energy**: 0.10 eV/atom

Geometry as CIF:
```
data_LiAl4Se
_chemical_formula_sum 'Li1 Al4 Se1'
_cell_length_a 5.403
_cell_length_b 5.403
_cell_length_c 5.403
_cell_angle_alpha 60.00
_cell_angle_beta 60.00
_cell_angle_gamma 60.00
_space_group_name_H-M_alt 'P 1'
_space_group_IT_number 1
loop_
_space_group_symop_operation_xyz
'x,y,z'
loop_
_atom_site_label
_atom_site_type_symbol
_atom_site_fract_x
_atom_site_fract_y
_atom_site_fract_z
Al1 Al 0.869 0.377 0.377
Al2 Al 0.377 0.377 0.377
Se1 Se 0.000 0.000 0.000
Li1 Li 0.750 0.750 0.750
Al3 Al 0.377 0.377 0.869
Al4 Al 0.377 0.869 0.377
```


7.
A geometry-optimized SrTeHN2 structure. Source: Alexandria via LeMat-Bulk, functional GGA-PBEsol.

Output
**E**: -16.18 eV/f.u.

Geometry as CIF:
```
data_SrTeHN2
_chemical_formula_sum 'Sr1 Te1 H1 N2'
_cell_length_a 4.863
_cell_length_b 4.863
_cell_length_c 6.631
_cell_angle_alpha 90.00
_cell_angle_beta 90.00
_cell_angle_gamma 90.00
_space_group_name_H-M_alt 'P 1'
_space_group_IT_number 1
loop_
_space_group_symop_operation_xyz
'x,y,z'
loop_
_atom_site_label
_atom_site_type_symbol
_atom_site_fract_x
_atom_site_fract_y
_atom_site_fract_z
H1 H 0.500 0.500 0.500
Te1 Te 0.000 0.000 0.500
Sr1 Sr 0.000 0.000 0.000
N1 N 0.000 0.500 0.000
N2 N 0.500 0.000 0.000
```


8.
A geometry-optimized HgRu2S structure. Source: Alexandria via LeMat-Bulk, functional GGA-PBEsol.

Output
**Uncorrected formation energy**: 0.66 eV/atom

Geometry as CIF:
```
data_HgRu2S
_chemical_formula_sum 'Hg1 Ru2 S1'
_cell_length_a 4.372
_cell_length_b 4.372
_cell_length_c 4.372
_cell_angle_alpha 60.00
_cell_angle_beta 60.00
_cell_angle_gamma 60.00
_space_group_name_H-M_alt 'P 1'
_space_group_IT_number 1
loop_
_space_group_symop_operation_xyz
'x,y,z'
loop_
_atom_site_label
_atom_site_type_symbol
_atom_site_fract_x
_atom_site_fract_y
_atom_site_fract_z
S1 S 0.000 0.000 0.000
Ru1 Ru 0.750 0.750 0.750
Ru2 Ru 0.250 0.250 0.250
Hg1 Hg 0.500 0.500 0.500
```


no.,magnetic moment (μB per atom)
1,0.00
2,0.00
3,0.00
4,0.00
5,0.48
6,0.00
7,0.87
8,0.00